No. 1
The following is a DFT calculation (GGA-PBEsol) of Tl2InAu2 after structural relaxation.

Unit cell a=4.296 b=7.362 c=7.362 alpha=90.00 beta=90.00 gamma=90.00
Atoms (fractional coordinates):
Tl1 0.500 0.166 0.666
Tl2 0.500 0.666 0.834
Tl3 0.500 0.834 0.334
Tl4 0.500 0.334 0.166
Au1 0.000 0.363 0.863
Au2 0.000 0.863 0.637
Au3 0.000 0.637 0.137
Au4 0.000 0.137 0.363
In1 0.000 0.000 0.000
In2 0.000 0.500 0.500

Properties
Volume (Å³/atom): 23.29
DFT formation energy (eV/atom): -0.0229
Raw total energy (eV/cell): -32.41

No. 2
The following is a DFT calculation (GGA-PBEsol) of TlIn2Au after structural relaxation.

Unit cell a=4.410 b=4.580 c=4.580 alpha=90.00 beta=90.00 gamma=90.00
Atoms (fractional coordinates):
Au1 0.500 0.000 0.000
In1 0.000 0.000 0.500
In2 0.000 0.500 0.000
Tl1 0.500 0.500 0.500

Properties
Volume (Å³/atom): 23.13
DFT formation energy (eV/atom): 0.0317
Raw total energy (eV/cell): -12.39

No. 3
The following is a DFT calculation (GGA-PBEsol) of TlInAu2 after structural relaxation.

Unit cell a=3.635 b=4.885 c=5.460 alpha=104.05 beta=90.00 gamma=111.84
Atoms (fractional coordinates):
Tl1 0.743 0.485 0.219
Au1 0.992 0.983 0.972
Au2 0.252 0.504 0.748
In1 0.513 0.027 0.561

Properties
Volume (Å³/atom): 21.71
DFT formation energy (eV/atom): -0.0263
Raw total energy (eV/cell): -13.57

No. 4
The following is a DFT calculation (GGA-PBEsol) of TlInAu2 after structural relaxation.

Unit cell a=3.246 b=5.069 c=5.069 alpha=90.00 beta=90.00 gamma=90.00
Atoms (fractional coordinates):
Au1 0.000 0.000 0.500
Au2 0.000 0.500 0.000
In1 0.500 0.500 0.500
Tl1 0.500 0.000 0.000

Properties
Volume (Å³/atom): 20.85
DFT formation energy (eV/atom): 0.0090
Raw total energy (eV/cell): -13.43

No. 5
The following is a DFT calculation (GGA-PBEsol) of TlInAu2 after structural relaxation.

Unit cell a=3.724 b=4.226 c=5.727 alpha=90.00 beta=108.97 gamma=90.00
Atoms (fractional coordinates):
Tl1 0.778 0.500 0.557
Au1 0.215 0.000 0.431
Au2 0.041 0.500 0.082
In1 0.481 0.000 0.961

Properties
Volume (Å³/atom): 21.31
DFT formation energy (eV/atom): -0.1091
Raw total energy (eV/cell): -13.90

No. 6
The following is a DFT calculation (GGA-PBEsol) of TmInAu2 after structural relaxation.

Unit cell a=4.818 b=4.818 c=4.818 alpha=60.00 beta=60.00 gamma=60.00
Atoms (fractional coordinates):
Tm1 0.500 0.500 0.500
Au1 0.250 0.250 0.250
Au2 0.750 0.750 0.750
In1 0.000 0.000 0.000

Properties
Volume (Å³/atom): 19.78
DFT formation energy (eV/atom): -0.7329
Raw total energy (eV/cell): -18.66

No. 7
The following is a DFT calculation (GGA-PBEsol) of In2WAu after structural relaxation.

Unit cell a=3.013 b=5.167 c=5.633 alpha=117.30 beta=105.51 gamma=90.00
Atoms (fractional coordinates):
Au1 0.000 0.500 0.000
In1 0.746 0.746 0.491
In2 0.254 0.254 0.509
W1 0.500 0.000 0.000

Properties
Volume (Å³/atom): 18.58
DFT formation energy (eV/atom): 0.4867
Raw total energy (eV/cell): -21.75

No. 8
The following is a DFT calculation (GGA-PBEsol) of In2WAu after structural relaxation.

Unit cell a=3.009 b=3.009 c=9.569 alpha=80.95 beta=80.95 gamma=60.00
Atoms (fractional coordinates):
Au1 0.000 0.000 0.000
In1 0.250 0.250 0.251
In2 0.750 0.750 0.749
W1 0.500 0.500 0.500

Properties
Volume (Å³/atom): 18.45
DFT formation energy (eV/atom): 0.3377
Raw total energy (eV/cell): -22.35

No. 9
The following is a DFT calculation (GGA-PBEsol) of In2WAu after structural relaxation.

Unit cell a=3.440 b=3.440 c=6.211 alpha=90.00 beta=90.00 gamma=90.00
Atoms (fractional coordinates):
Au1 0.500 0.500 0.500
In1 0.000 0.000 0.759
In2 0.000 0.000 0.241
W1 0.500 0.500 0.000

Properties
Volume (Å³/atom): 18.38
DFT formation energy (eV/atom): 0.4512
Raw total energy (eV/cell): -21.89

No. 10
The following is a DFT calculation (GGA-PBEsol) of In2WAu after structural relaxation.

Unit cell a=2.929 b=4.997 c=5.392 alpha=101.65 beta=90.00 gamma=107.04
Atoms (fractional coordinates):
Au1 0.500 0.000 0.000
In1 0.751 0.502 0.744
In2 0.249 0.498 0.256
W1 0.000 0.000 0.500

Properties
Volume (Å³/atom): 18.44
DFT formation energy (eV/atom): 0.4251
Raw total energy (eV/cell): -22.00

No. 11
The following is a DFT calculation (GGA-PBEsol) of In2WAu after structural relaxation.

Unit cell a=4.734 b=4.734 c=4.734 alpha=60.00 beta=60.00 gamma=60.00
Each line ends with the local moment (μB).
Atoms (fractional coordinates):
Au1 0.500 0.500 0.500  0.03
In1 0.000 0.000 0.000  0.00
In2 0.250 0.250 0.250  -0.02
W1 0.750 0.750 0.750  0.77

Properties
Volume (Å³/atom): 18.75
DFT formation energy (eV/atom): 0.7615
Raw total energy (eV/cell): -20.65

No. 12
The following is a DFT calculation (GGA-PBEsol) of InWAu4 after structural relaxation.

Unit cell a=5.382 b=5.382 c=5.382 alpha=60.00 beta=60.00 gamma=60.00
Each line ends with the local moment (μB).
Atoms (fractional coordinates):
Au1 0.375 0.375 0.375  0.06
Au2 0.375 0.375 0.876  0.06
Au3 0.876 0.375 0.375  0.06
Au4 0.375 0.876 0.375  0.06
In1 0.750 0.750 0.750  -0.03
W1 0.000 0.000 0.000  2.07

Properties
Volume (Å³/atom): 18.37
DFT formation energy (eV/atom): 0.6259
Raw total energy (eV/cell): -28.73

No. 13
The following is a DFT calculation (GGA-PBEsol) of In2WAu after structural relaxation.

Unit cell a=2.954 b=2.954 c=9.211 alpha=90.00 beta=90.00 gamma=112.72
Atoms (fractional coordinates):
Au1 0.500 0.500 0.000
In1 0.000 0.000 0.252
In2 0.000 0.000 0.748
W1 0.500 0.500 0.500

Properties
Volume (Å³/atom): 18.54
DFT formation energy (eV/atom): 0.3841
Raw total energy (eV/cell): -22.16

No. 14
The following is a DFT calculation (GGA-PBEsol) of Y2InAu2 after structural relaxation.

Unit cell a=5.459 b=5.731 c=5.459 alpha=61.56 beta=90.00 gamma=118.44
Atoms (fractional coordinates):
Y1 0.750 0.500 0.750
Y2 0.250 0.500 0.250
Au1 0.650 0.299 0.350
Au2 0.350 0.701 0.650
In1 0.000 0.000 0.000

Properties
Volume (Å³/atom): 25.25
DFT formation energy (eV/atom): -0.4968
Raw total energy (eV/cell): -26.96

No. 15
The following is a DFT calculation (GGA-PBEsol) of Y2In5Au3 after structural relaxation.

Unit cell a=4.474 b=7.373 c=13.494 alpha=90.00 beta=99.54 gamma=90.00
Atoms (fractional coordinates):
Au1 0.455 0.506 0.911
Au2 0.545 0.006 0.089
Au3 0.725 0.771 0.450
Au4 0.275 0.271 0.550
Au5 0.108 0.478 0.217
Au6 0.892 0.978 0.783
In1 0.620 0.735 0.239
In2 0.380 0.235 0.761
In3 0.208 0.562 0.415
In4 0.792 0.062 0.585
In5 0.900 0.592 0.801
In6 0.100 0.092 0.199
In7 0.552 0.389 0.105
In8 0.448 0.889 0.895
In9 0.206 0.983 0.411
In10 0.794 0.483 0.589
Y1 0.325 0.773 0.651
Y2 0.675 0.273 0.349
Y3 0.021 0.726 0.042
Y4 0.979 0.226 0.958

Properties
Volume (Å³/atom): 21.95
DFT formation energy (eV/atom): -0.5629
Raw total energy (eV/cell): -91.92

No. 16
The following is a DFT calculation (GGA-PBEsol) of YIn3Au after structural relaxation.

Unit cell a=5.687 b=5.687 c=5.687 alpha=90.00 beta=90.00 gamma=90.00
Atoms (fractional coordinates):
Y1 0.000 0.000 0.000
Au1 0.500 0.500 0.500
In1 0.000 0.500 0.000
In2 0.000 0.000 0.500
In3 0.500 0.000 0.000

Properties
Volume (Å³/atom): 36.78
DFT formation energy (eV/atom): 0.9899
Raw total energy (eV/cell): -14.75

No. 17
The following is a DFT calculation (GGA-PBEsol) of Y2InAu2 after structural relaxation.

Unit cell a=3.693 b=7.822 c=7.822 alpha=90.00 beta=90.00 gamma=90.00
Atoms (fractional coordinates):
Y1 0.500 0.169 0.669
Y2 0.500 0.669 0.831
Y3 0.500 0.831 0.331
Y4 0.500 0.331 0.169
Au1 0.000 0.372 0.872
Au2 0.000 0.872 0.628
Au3 0.000 0.628 0.128
Au4 0.000 0.128 0.372
In1 0.000 0.000 0.000
In2 0.000 0.500 0.500

Properties
Volume (Å³/atom): 22.59
DFT formation energy (eV/atom): -0.8567
Raw total energy (eV/cell): -57.52

No. 18
The following is a DFT calculation (GGA-PBEsol) of YIn2Au after structural relaxation.

Unit cell a=4.411 b=4.411 c=4.496 alpha=90.00 beta=90.00 gamma=90.00
Atoms (fractional coordinates):
Y1 0.500 0.500 0.500
Au1 0.000 0.000 0.500
In1 0.000 0.500 0.000
In2 0.500 0.000 0.000

Properties
Volume (Å³/atom): 21.87
DFT formation energy (eV/atom): -0.5511
Raw total energy (eV/cell): -18.92

No. 19
The following is a DFT calculation (GGA-PBEsol) of YIn2Au2 after structural relaxation.

Unit cell a=4.160 b=4.160 c=7.016 alpha=107.24 beta=107.24 gamma=90.00
Atoms (fractional coordinates):
Y1 0.000 0.000 0.000
Au1 0.397 0.397 0.794
Au2 0.603 0.603 0.206
In1 0.250 0.750 0.500
In2 0.750 0.250 0.500

Properties
Volume (Å³/atom): 22.05
DFT formation energy (eV/atom): -0.5226
Raw total energy (eV/cell): -23.25

No. 20
The following is a DFT calculation (GGA-PBEsol) of ZnIn2Au after structural relaxation.

Unit cell a=4.343 b=4.343 c=5.158 alpha=114.89 beta=114.89 gamma=90.00
Atoms (fractional coordinates):
Au1 0.000 0.000 0.000
In1 0.750 0.250 0.500
In2 0.250 0.750 0.500
Zn1 0.500 0.500 0.000

Properties
Volume (Å³/atom): 19.54
DFT formation energy (eV/atom): 0.0058
Raw total energy (eV/cell): -11.45

No. 21
The following is a DFT calculation (GGA-PBEsol) of ZnIn2Au after structural relaxation.

Unit cell a=3.792 b=4.231 c=5.352 alpha=90.00 beta=110.36 gamma=90.00
Atoms (fractional coordinates):
Zn1 0.169 0.000 0.466
Au1 0.327 0.500 0.777
In1 0.900 0.000 0.925
In2 0.604 0.500 0.332

Properties
Volume (Å³/atom): 20.13
DFT formation energy (eV/atom): -0.1200
Raw total energy (eV/cell): -11.95

No. 22
The following is a DFT calculation (GGA-PBEsol) of Zn2InAu2 after structural relaxation.

Unit cell a=2.879 b=7.786 c=7.786 alpha=90.00 beta=90.00 gamma=90.00
Atoms (fractional coordinates):
Zn1 0.500 0.130 0.630
Zn2 0.500 0.630 0.870
Zn3 0.500 0.870 0.370
Zn4 0.500 0.370 0.130
Au1 0.000 0.334 0.834
Au2 0.000 0.834 0.666
Au3 0.000 0.666 0.166
Au4 0.000 0.166 0.334
In1 0.000 0.000 0.000
In2 0.000 0.500 0.500

Properties
Volume (Å³/atom): 17.45
DFT formation energy (eV/atom): -0.1566
Raw total energy (eV/cell): -29.56

No. 23
The following is a DFT calculation (GGA-PBEsol) of ZnInAu after structural relaxation.

Unit cell a=3.371 b=4.416 c=4.416 alpha=120.00 beta=90.00 gamma=90.00
Atoms (fractional coordinates):
Au1 0.165 0.000 0.000
In1 0.666 0.667 0.333
Zn1 0.168 0.333 0.667

Properties
Volume (Å³/atom): 18.98
DFT formation energy (eV/atom): -0.0685
Raw total energy (eV/cell): -8.69

No. 24
The following is a DFT calculation (GGA-PBEsol) of Zn2InAu2 after structural relaxation.

Unit cell a=3.692 b=3.692 c=7.050 alpha=105.18 beta=105.18 gamma=90.00
Atoms (fractional coordinates):
Zn1 0.250 0.750 0.500
Zn2 0.750 0.250 0.500
Au1 0.393 0.393 0.787
Au2 0.607 0.607 0.213
In1 0.000 0.000 0.000

Properties
Volume (Å³/atom): 17.85
DFT formation energy (eV/atom): -0.1644
Raw total energy (eV/cell): -14.82

No. 25
The following is a DFT calculation (GGA-PBEsol) of ZnInAu after structural relaxation.

Unit cell a=3.215 b=3.215 c=6.304 alpha=90.00 beta=90.00 gamma=120.00
Atoms (fractional coordinates):
Au1 0.000 0.000 0.018
In1 0.667 0.333 0.668
Zn1 0.333 0.667 0.314

Properties
Volume (Å³/atom): 18.81
DFT formation energy (eV/atom): -0.0318
Raw total energy (eV/cell): -8.58

No. 26
The following is a DFT calculation (GGA-PBEsol) of Zr2InAu after structural relaxation.

Unit cell a=3.157 b=5.167 c=5.167 alpha=108.89 beta=90.00 gamma=90.00
Atoms (fractional coordinates):
Au1 0.500 0.000 0.000
Zr1 0.000 0.500 0.000
Zr2 0.000 0.000 0.500
In1 0.500 0.500 0.500

Properties
Volume (Å³/atom): 19.94
DFT formation energy (eV/atom): -0.4450
Raw total energy (eV/cell): -26.87

No. 27
The following is a DFT calculation (GGA-PBEsol) of ZrInAu2 after structural relaxation.

Unit cell a=3.212 b=3.212 c=7.439 alpha=90.00 beta=90.00 gamma=90.00
Atoms (fractional coordinates):
Au1 0.000 0.000 0.745
Au2 0.000 0.000 0.255
Zr1 0.500 0.500 0.500
In1 0.500 0.500 0.000

Properties
Volume (Å³/atom): 19.18
DFT formation energy (eV/atom): -0.4220
Raw total energy (eV/cell): -21.61

No. 28
The following is a DFT calculation (GGA-PBEsol) of Zr2InAu after structural relaxation.

Unit cell a=3.264 b=4.996 c=5.817 alpha=115.29 beta=106.28 gamma=90.00
Atoms (fractional coordinates):
Au1 0.500 0.502 0.000
Zr1 0.005 0.007 0.011
Zr2 0.764 0.262 0.527
In1 0.231 0.730 0.462

Properties
Volume (Å³/atom): 20.38
DFT formation energy (eV/atom): -0.3939
Raw total energy (eV/cell): -26.66